# 1
Density functional theory data (PBE) for a relaxed structure of TbHo3Co.

Calculated values
D(E_F), states/eV/f.u.: 5.207
Calculated volume, A^3/atom: 27.6
E_tot, eV/atom: -5.205
Energy relative to the lowest polymorph listed for this composition, meV per atom: 0.0
SG: C2/m (12)
Formation enthalpy at 0 K, eV/atom: -0.111

Cell lengths 7.094, 7.094, 8.101 Å; angles 124.62, 124.62, 70.99 degrees
Positions (direct):
Tb (0.048, 0.048, 0.340)
Tb (0.952, 0.952, 0.660)
Ho (0.048, 0.453, 0.206)
Ho (0.452, 0.452, 0.747)
Ho (0.453, 0.048, 0.206)
Ho (0.547, 0.952, 0.794)
Ho (0.548, 0.548, 0.253)
Ho (0.952, 0.547, 0.794)
Co (0.251, 0.251, 0.879)
Co (0.749, 0.749, 0.121)

# 2
Density functional theory data (PBE) for a relaxed structure of TbHo3Co.

Calculated values
D(E_F), states/eV/f.u.: 6.244
Calculated volume, A^3/atom: 26.7
E_tot, eV/atom: -5.121
Energy relative to the lowest polymorph listed for this composition, meV per atom: 84.0
SG: P2_1/c (14)
Formation enthalpy at 0 K, eV/atom: -0.027

Cell lengths 7.741, 7.254, 9.949 Å; angles 90.00, 107.37, 90.00 degrees
Positions (direct):
Tb (0.187, 0.055, 0.256)
Tb (0.187, 0.445, 0.756)
Tb (0.813, 0.555, 0.244)
Tb (0.813, 0.945, 0.744)
Ho (0.085, 0.703, 0.033)
Ho (0.085, 0.797, 0.533)
Ho (0.291, 0.508, 0.383)
Ho (0.291, 0.992, 0.883)
Ho (0.417, 0.128, 0.608)
Ho (0.417, 0.372, 0.108)
Ho (0.583, 0.628, 0.892)
Ho (0.583, 0.872, 0.392)
Ho (0.709, 0.008, 0.117)
Ho (0.709, 0.492, 0.617)
Ho (0.915, 0.203, 0.467)
Ho (0.915, 0.297, 0.967)
Co (0.454, 0.746, 0.607)
Co (0.454, 0.754, 0.107)
Co (0.546, 0.246, 0.893)
Co (0.546, 0.254, 0.393)